Compound: AcAgMoO6
Source: Alexandria via LeMat-Bulk
Functional: PBE+U
Structure: relaxed

a = 5.2268 Å, b = 5.2268 Å, c = 10.0915 Å
α = 90.00°, β = 90.00°, γ = 90.00°
Positions (direct):
O 0.7729 0.2271 0.8481
O 0.3169 0.3169 0.9617
O 0.1831 0.8169 0.4617
O 0.8169 0.1831 0.4617
O 0.8349 0.1651 0.1752
O 0.6831 0.6831 0.9617
O 0.7271 0.7271 0.3481
O 0.3349 0.3349 0.6752
O 0.6651 0.6651 0.6752
O 0.1651 0.8349 0.1752
O 0.2271 0.7729 0.8481
O 0.2729 0.2729 0.3481
Mo 0.5000 0.5000 0.8424
Mo 0.0000 0.0000 0.3424
Ac 0.0000 0.0000 0.6788
Ac 0.5000 0.5000 0.1788
Ag 0.0000 0.0000 0.0089
Ag 0.5000 0.5000 0.5089

Values from the calculation:
As for the crystal system: tetragonal. The space-group type is P4_2nm.


Compound: AcAgMo2O8
Source: Alexandria via LeMat-Bulk
Functional: PBE+U
Structure: relaxed

a = 6.2481 Å, b = 6.2481 Å, c = 6.9179 Å
α = 90.00°, β = 90.00°, γ = 120.00°
Positions (direct):
O 0.1737 0.8260 0.7365
O 0.8263 0.1740 0.2635
O 0.6667 0.3333 0.9271
O 0.3476 0.1737 0.2635
O 0.3333 0.6667 0.0729
O 0.8260 0.6524 0.2635
O 0.1740 0.3476 0.7365
O 0.6524 0.8263 0.7365
Ag 0.0000 0.0000 0.0000
Ac 0.0000 0.0000 0.5000
Mo 0.3333 0.6667 0.8218
Mo 0.6667 0.3333 0.1782

Values from the calculation:
As for the crystal system: trigonal. The space-group type is P-3m1.


Compound: AcAgMo2O7
Source: Alexandria via LeMat-Bulk
Functional: PBE+U
Structure: relaxed

a = 3.9561 Å, b = 3.9561 Å, c = 10.8196 Å
α = 90.00°, β = 90.00°, γ = 90.00°
Positions (direct):
Mo 0.5000 0.5000 0.2087
Mo 0.5000 0.5000 0.7913
O 0.5000 0.5000 0.3719
O 0.5000 0.0000 0.1711
O 0.0000 0.5000 0.1711
O 0.5000 0.5000 0.6281
O 0.5000 0.0000 0.8289
O 0.0000 0.5000 0.8289
O 0.5000 0.5000 0.0000
Ac 0.0000 0.0000 0.0000
Ag 0.0000 0.0000 0.5000

Values from the calculation:
As for the crystal system: tetragonal. The space-group type is P4/mmm.


Compound: Ac2AgMoO8
Source: Alexandria via LeMat-Bulk
Functional: PBE+U
Structure: relaxed

a = 4.4795 Å, b = 5.5055 Å, c = 7.3292 Å
α = 84.44°, β = 92.68°, γ = 95.51°
Positions (direct):
O 0.1997 0.9771 0.7576
O 0.2021 0.7361 0.1205
O 0.7979 0.2639 0.8795
O 0.2132 0.3385 0.4425
O 0.8003 0.0229 0.2424
O 0.3067 0.2471 0.0569
O 0.6933 0.7529 0.9431
O 0.7868 0.6615 0.5575
Ac 0.3115 0.5140 0.7497
Ac 0.6885 0.4860 0.2503
Mo 0.0000 0.0000 0.0000
Ag 0.0000 0.0000 0.5000

Values from the calculation:
As for the crystal system: triclinic. The space-group type is P-1.


Total energy for every record listed, in sequence, given in eV/atom: -6.41, -6.91, -6.86, -6.71.